! V3Mo3W4 PBE optimized geometry; values from VASP
! Energy relative to the elements ... 0.54 eV per atom
&SYSTEM
  ibrav = 0, nat = 10, ntyp = 3
/
ATOMIC_SPECIES
Mo 95.94 Mo.upf
V 50.94 V.upf
W 183.84 W.upf
CELL_PARAMETERS angstrom
-1.4171 -1.1390 2.4886
0.8069 -6.6786 -2.5973
6.3443 -0.4760 3.3948
ATOMIC_POSITIONS crystal
Mo 0.0000 0.0121 0.5122
V 0.5000 0.8382 0.1618
V 0.5000 0.3707 0.3088
Mo 0.0000 0.4878 0.9879
W 0.0000 0.8257 0.8737
W 0.0000 0.1263 0.1743
W 0.0000 0.6446 0.3554
Mo 0.5000 0.1451 0.8549
V 0.5000 0.6912 0.6293
W 0.0000 0.3583 0.6417